The following is a PBE with a Hubbard U calculation of a geometry-optimized Ba2V3P6HO22 structure, from Alexandria.

abc: 4.931 8.095 11.465
angles: 88.99 88.61 87.06
Space group P-1 (No. 2)
Inequivalent atoms, fractional coordinates:
Ba1 0.234 0.007 0.176 x2
V1 0.219 0.493 0.203 x2
V2 0.500 0.000 0.500 x1
P1 0.034 0.756 0.427 x2
P2 0.266 0.700 0.658 x2
P3 0.314 0.295 0.947 x2
H1 0.000 0.500 0.000 x1
O1 0.010 0.696 0.739 x2
O2 0.040 0.653 0.318 x2
O3 0.084 0.430 0.914 x2
O4 0.180 0.649 0.530 x2
O5 0.208 0.908 0.404 x2
O6 0.228 0.117 0.928 x2
O7 0.254 0.197 0.532 x2
O8 0.361 0.879 0.654 x2
O9 0.362 0.319 0.079 x2
O10 0.427 0.680 0.128 x2
O11 0.486 0.571 0.690 x2

DOS(E_F) = 0.0000 states/eV/atom
Energy = -7.402 eV per atom
Calculated density = 3.5 g/cm3